# 1
A geometry-optimized Cd3Te structure. Source: Alexandria via LeMat-Bulk, functional PBEsol.

Cell lengths 3.2364, 3.2364, 8.9994 Å; angles 90.00, 90.00, 90.09 degrees
Closest atoms and distances in Å follow each position.
Element x y z (fractional)
Cd 0.0000 0.0000 0.0000  12 Cd 3.04-3.24
Cd 0.5000 0.5000 0.2233  8 Cd 3.04-3.24, 4 Te 3.38
Cd 0.5000 0.5000 0.7767  8 Cd 3.04-3.24, 4 Te 3.38
Te 0.0000 0.0000 0.5000  4 Te 3.24, 8 Cd 3.38

Computed properties:
space group	No. 65
density of states at the Fermi level	0.39	states/eV per atom
raw formation energy	82	meV/atom

# 2
A geometry-optimized Cd4Te3 structure. Source: Alexandria via LeMat-Bulk, functional PBEsol.

Cell lengths 11.8133, 11.8133, 11.8133 Å; angles 159.59, 159.59, 29.02 degrees
Closest atoms and distances in Å follow each position.
Element x y z (fractional)
Cd 0.0581 0.0581 0.0000  1 Cd 2.66, 1 Te 2.75
Cd 0.3174 0.3174 0.0000  5 Te 2.96-3.18
Cd 0.6826 0.6826 0.0000  5 Te 2.96-3.18
Cd 0.9419 0.9419 0.0000  1 Cd 2.66, 1 Te 2.75
Te 0.1785 0.1785 0.0000  5 Cd 2.75-2.96
Te 0.5000 0.5000 0.0000  8 Cd 3.24
Te 0.8215 0.8215 0.0000  5 Cd 2.75-2.96

Computed properties:
space group	No. 139
density of states at the Fermi level	0.29	states/eV per atom
raw formation energy	-111	meV/atom

# 3
A geometry-optimized Cd2Te structure. Source: Alexandria via LeMat-Bulk, functional PBEsol.

Cell lengths 5.7192, 5.7192, 5.7192 Å; angles 43.66, 43.66, 43.66 degrees
Closest atoms and distances in Å follow each position.
Element x y z (fractional)
Cd 0.0000 0.0000 0.0000  3 Cd 2.97, 3 Te 3.00
Cd 0.2254 0.2254 0.2254  3 Cd 2.97, 3 Te 3.02
Te 0.7782 0.7782 0.7782  6 Cd 3.00-3.02

Computed properties:
space group	No. 160
density of states at the Fermi level	0.32	states/eV per atom
raw formation energy	-42	meV/atom

# 4
A geometry-optimized TlCdTe2 structure. Source: Alexandria via LeMat-Bulk, functional PBEsol.

Cell lengths 6.9840, 6.9840, 6.9840 Å; angles 144.43, 144.43, 51.18 degrees
Closest atoms and distances in Å follow each position.
Element x y z (fractional)
Tl 0.0000 0.0000 0.0000  4 Te 3.02
Cd 0.7500 0.2500 0.5000  4 Te 3.02
Te 0.2500 0.7500 0.5000  4 Cd 3.02
Te 0.5000 0.5000 0.0000  4 Tl 3.02

Computed properties:
space group	No. 119
density of states at the Fermi level	0.50	states/eV per atom
raw formation energy	12	meV/atom

# 5
A geometry-optimized TlCd2Te structure. Source: Alexandria via LeMat-Bulk, functional PBEsol.

Cell lengths 3.1848, 3.1848, 10.5572 Å; angles 90.00, 90.00, 106.25 degrees
Closest atoms and distances in Å follow each position.
Element x y z (fractional)
Tl 0.0000 0.0000 0.0000  4 Tl 3.18, 4 Cd 3.25
Cd 0.5000 0.5000 0.2488  4 Cd 3.18, 2 Tl 3.25, 2 Te 3.27
Cd 0.5000 0.5000 0.7512  4 Cd 3.18, 2 Tl 3.25, 2 Te 3.27
Te 0.0000 0.0000 0.5000  4 Te 3.18, 4 Cd 3.27

Computed properties:
space group	No. 65
density of states at the Fermi level	0.38	states/eV per atom
raw formation energy	89	meV/atom

# 6
A geometry-optimized TlCdTe2 structure. Source: Alexandria via LeMat-Bulk, functional PBEsol.

Cell lengths 3.1572, 3.1572, 11.4348 Å; angles 90.00, 90.00, 90.00 degrees
Closest atoms and distances in Å follow each position.
Element x y z (fractional)
Tl 0.0000 0.0000 0.0000  4 Tl 3.16, 4 Cd 3.48
Cd 0.5000 0.5000 0.2331  4 Cd 3.16, 4 Te 3.36, 4 Tl 3.48
Te 0.0000 0.0000 0.4527  4 Te 3.16, 4 Cd 3.36
Te 0.5000 0.5000 0.7599  4 Te 3.16

Computed properties:
space group	No. 99
density of states at the Fermi level	0.58	states/eV per atom
raw formation energy	78	meV/atom

# 7
A geometry-optimized TlCd2Te structure. Source: Alexandria via LeMat-Bulk, functional PBEsol.

Cell lengths 5.0078, 5.0078, 6.0070 Å; angles 107.60, 107.60, 48.20 degrees
Closest atoms and distances in Å follow each position.
Element x y z (fractional)
Tl 0.0000 0.0000 0.0000  6 Cd 3.07-3.08
Cd 0.2467 0.2467 0.7548  3 Te 3.05-3.17, 3 Tl 3.07-3.08
Cd 0.7533 0.7533 0.2452  3 Te 3.05-3.17, 3 Tl 3.07-3.08
Te 0.5000 0.5000 0.5000  6 Cd 3.05-3.17

Computed properties:
space group	No. 12
density of states at the Fermi level	0.30	states/eV per atom
raw formation energy	-23	meV/atom

# 8
A geometry-optimized TlCd2Te structure. Source: Alexandria via LeMat-Bulk, functional PBEsol.

Cell lengths 3.2701, 4.0345, 7.8357 Å; angles 90.00, 90.00, 90.00 degrees
Closest atoms and distances in Å follow each position.
Element x y z (fractional)
Tl 0.0000 0.0000 0.0000  2 Tl 3.27, 5 Cd 3.31-3.62, 4 Te 3.53
Cd 0.0000 0.0000 0.4626  6 Cd 3.04-3.27, 4 Te 3.17
Cd 0.5000 0.5000 0.2610  6 Cd 3.04-3.27, 4 Tl 3.31, 1 Te 3.40
Te 0.5000 0.5000 0.6953  5 Cd 3.17-3.40, 2 Te 3.27, 4 Tl 3.53

Computed properties:
space group	No. 25
density of states at the Fermi level	0.32	states/eV per atom
raw formation energy	0	meV/atom